(1)
Below is Li3NbF at its PBEsol-relaxed geometry, with properties calculated at the meta-GGA SCAN level.

Output
Space-group type: Pm-3m (221)
Density of states at the Fermi level, states/eV per atom: 0.249
E, eV per atom: -8.03
ΔE_f (raw), kJ per mole of atoms: 72
Volume, Å³/f.u.: 151.8
Mass density, g/cm3: 1.45

a b c (Å): 5.3340 5.3340 5.3340
angles (deg): 90.00 90.00 90.00
Atoms (fractional coordinates):
Li 0.0000 0.5000 0.0000
Li 0.5000 0.0000 0.0000
Li 0.0000 0.0000 0.5000
Nb 0.0000 0.0000 0.0000
F 0.5000 0.5000 0.5000

=====

(2)
Below is LiNb2F at its PBEsol-relaxed geometry, with properties calculated at the meta-GGA SCAN level.

Output
Space-group type: Fm-3m (225)
Density of states at the Fermi level, states/eV per atom: 1.004
E, eV per atom: -17.71
ΔE_f (raw), kJ per mole of atoms: 32
Volume, Å³/f.u.: 55.8
Mass density, g/cm3: 6.31

a b c (Å): 4.2881 4.2881 4.2881
angles (deg): 60.00 60.00 60.00
Atoms (fractional coordinates):
Nb 0.2500 0.2500 0.2500
Nb 0.7500 0.7500 0.7500
F 0.5000 0.5000 0.5000
Li 0.0000 0.0000 0.0000

=====

(3)
Below is Li5Nb3OF18 at its PBEsol-relaxed geometry, with properties calculated at the meta-GGA SCAN level.

Output
Space-group type: I4cm (108)
Density of states at the Fermi level, states/eV per atom: 0.000
E, eV per atom: -9.84
ΔE_f (raw), kJ per mole of atoms: -302
Volume, Å³/f.u.: 359.7
Mass density, g/cm3: 3.10

a b c (Å): 9.0658 9.9949 9.9949
angles (deg): 78.13 63.03 63.03
Atoms (fractional coordinates):
Li 0.9766 0.8456 0.2955
Li 0.5446 0.5000 0.5000
Li 0.8222 0.2955 0.1544
Li 0.7721 0.8456 0.7045
Li 0.2721 0.7045 0.8456
Li 0.4766 0.2955 0.8456
Li 0.1178 0.1544 0.7045
Li 0.0446 0.5000 0.5000
Li 0.6178 0.7045 0.1544
Li 0.3222 0.1544 0.2955
F 0.6037 0.0772 0.7084
F 0.8823 0.6348 0.6650
F 0.5518 0.8450 0.5000
F 0.8645 0.8856 0.8195
F 0.6809 0.7084 0.9228
F 0.1821 0.3652 0.3350
F 0.7501 0.8195 0.1144
F 0.3893 0.9228 0.2916
F 0.0518 0.5000 0.8450
F 0.9635 0.5000 0.1901
F 0.6821 0.3350 0.3652
F 0.5473 0.3350 0.6348
F 0.0473 0.6348 0.3350
F 0.2377 0.0791 0.5000
F 0.8968 0.1550 0.5000
F 0.4635 0.1901 0.5000
F 0.1536 0.8099 0.5000
F 0.1037 0.7084 0.0772
F 0.7377 0.5000 0.0791
F 0.5695 0.1144 0.1805
F 0.0695 0.1805 0.1144
F 0.2501 0.1144 0.8195
F 0.3168 0.5000 0.9209
F 0.6840 0.1805 0.8856
F 0.3121 0.2916 0.0772
F 0.1840 0.8856 0.1805
F 0.3645 0.8195 0.8856
F 0.1809 0.9228 0.7084
F 0.8168 0.9209 0.5000
F 0.5171 0.6650 0.3652
F 0.8893 0.2916 0.9228
F 0.8121 0.0772 0.2916
F 0.0171 0.3652 0.6650
F 0.6536 0.5000 0.8099
F 0.3968 0.5000 0.1550
F 0.3823 0.6650 0.6348
Nb 0.2631 0.0000 0.0000
Nb 0.8384 0.5000 0.8522
Nb 0.7631 0.0000 0.0000
Nb 0.3384 0.8522 0.5000
Nb 0.6907 0.1478 0.5000
Nb 0.1907 0.5000 0.1478
O 0.9565 0.0000 0.0000
O 0.4565 0.0000 0.0000

=====

(4)
Below is Li2NbOF5 at its PBEsol-relaxed geometry, with properties calculated at the meta-GGA SCAN level.

Output
Space-group type: Cm (8)
Density of states at the Fermi level, states/eV per atom: 0.000
E, eV per atom: -10.00
ΔE_f (raw), kJ per mole of atoms: -302
Volume, Å³/f.u.: 97.4
Mass density, g/cm3: 3.71

a b c (Å): 4.5667 4.9586 4.9586
angles (deg): 119.85 90.33 90.33
Atoms (fractional coordinates):
O 0.2490 0.3145 0.3145
F 0.7437 0.9907 0.3144
F 0.7435 0.6778 0.6778
F 0.7437 0.3144 0.9907
F 0.2433 0.6707 0.9949
F 0.2433 0.9949 0.6707
Nb 0.0196 0.0249 0.0249
Li 0.5070 0.3469 0.6651
Li 0.5070 0.6651 0.3469

=====

(5)
Below is LiNbO2F at its PBEsol-relaxed geometry, with properties calculated at the meta-GGA SCAN level.

Output
Space-group type: P4/mmm (123)
Density of states at the Fermi level, states/eV per atom: 0.358
E, eV per atom: -12.71
ΔE_f (raw), kJ per mole of atoms: -232
Volume, Å³/f.u.: 65.3
Mass density, g/cm3: 3.83

a b c (Å): 3.9802 3.9802 4.1250
angles (deg): 90.00 90.00 90.00
Atoms (fractional coordinates):
O 0.5000 0.0000 0.0000
O 0.0000 0.5000 0.0000
F 0.0000 0.0000 0.5000
Li 0.5000 0.5000 0.5000
Nb 0.0000 0.0000 0.0000

=====

(6)
Below is Li2NbOF5 at its PBEsol-relaxed geometry, with properties calculated at the meta-GGA SCAN level.

Output
Space-group type: P3_1 (144)
Density of states at the Fermi level, states/eV per atom: 0.000
E, eV per atom: -10.00
ΔE_f (raw), kJ per mole of atoms: -302
Volume, Å³/f.u.: 97.3
Mass density, g/cm3: 3.72

a b c (Å): 4.9597 4.9597 13.7039
angles (deg): 90.00 90.00 120.00
Atoms (fractional coordinates):
Li 0.6574 0.3257 0.8311
Li 0.0111 0.9854 0.1638
Li 0.9743 0.9889 0.8305
Li 0.0146 0.0257 0.4971
Li 0.6743 0.3317 0.1644
Li 0.6683 0.3426 0.4978
F 0.0149 0.6743 0.7524
F 0.0060 0.6557 0.0861
F 0.3443 0.3502 0.4194
F 0.6498 0.9940 0.7528
F 0.6594 0.9851 0.4191
F 0.3191 0.9860 0.9200
F 0.0140 0.3331 0.2534
F 0.0176 0.6696 0.4183
F 0.3257 0.3406 0.0857
F 0.9976 0.3385 0.9180
F 0.3409 0.0024 0.5847
F 0.3304 0.3480 0.7516
F 0.6520 0.9824 0.0849
F 0.6669 0.6809 0.5867
F 0.6615 0.6591 0.2514
Nb 0.3542 0.6621 0.9934
Nb 0.3079 0.6458 0.6600
Nb 0.3379 0.6921 0.3267
O 0.0190 0.3605 0.5836
O 0.6395 0.6585 0.9169
O 0.3415 0.9810 0.2502

=====

(7)
Below is SrLiNb2O6F at its PBEsol-relaxed geometry, with properties calculated at the meta-GGA SCAN level.

Output
Space-group type: I-4m2 (119)
Density of states at the Fermi level, states/eV per atom: 0.000
E, eV per atom: -14.98
ΔE_f (raw), kJ per mole of atoms: -289
Volume, Å³/f.u.: 149.6
Mass density, g/cm3: 4.39

a b c (Å): 3.8441 3.8441 10.4829
angles (deg): 100.57 100.57 90.00
Atoms (fractional coordinates):
O 0.5921 0.0921 0.1841
O 0.9079 0.4079 0.8159
O 0.7075 0.7075 0.4150
O 0.0940 0.5940 0.1879
O 0.4060 0.9060 0.8121
O 0.2925 0.2925 0.5850
F 0.5000 0.5000 0.0000
Nb 0.6189 0.6189 0.2379
Nb 0.3811 0.3811 0.7621
Li 0.2500 0.7500 0.5000
Sr 0.0000 0.0000 0.0000

=====

(8)
Below is Li4Ni3O3F4 at its PBEsol-relaxed geometry, with properties calculated at the meta-GGA SCAN level.

Output
Space-group type: I4/mmm (139)
E, eV per atom: -8.79
ΔE_f (raw), kJ per mole of atoms: -222
Volume, Å³/f.u.: 117.3
Mass density, g/cm3: 4.64

a b c (Å): 2.8404 2.8404 14.6796
angles (deg): 95.55 95.55 90.00
Atoms (fractional coordinates):
F 0.1477 0.1477 0.2954
F 0.2844 0.2844 0.5688
F 0.8523 0.8523 0.7046
F 0.7156 0.7156 0.4312
Li 0.3542 0.3542 0.7085
Li 0.6458 0.6458 0.2915
Li 0.7839 0.7839 0.5679
Li 0.2161 0.2161 0.4321
Ni 0.0713 0.0713 0.1426
Ni 0.5000 0.5000 0.0000
Ni 0.9287 0.9287 0.8574
O 0.4281 0.4281 0.8561
O 0.5719 0.5719 0.1439
O 0.0000 0.0000 0.0000

=====

(9)
Below is Li5NiO3F2 at its PBEsol-relaxed geometry, with properties calculated at the meta-GGA SCAN level.

Output
Space-group type: C2/m (12)
Density of states at the Fermi level, states/eV per atom: 0.047
E, eV per atom: -7.09
ΔE_f (raw), kJ per mole of atoms: -211
Volume, Å³/f.u.: 96.8
Mass density, g/cm3: 3.08

a b c (Å): 3.8360 4.9853 5.7843
angles (deg): 107.06 90.00 112.63
Atoms (fractional coordinates):
Li 0.3251 0.6502 0.6245
Li 0.3051 0.6102 0.1958
Li 0.0000 0.0000 0.0000
Li 0.6749 0.3498 0.3755
Li 0.6949 0.3898 0.8042
Ni 0.0000 0.0000 0.5000
O 0.8614 0.7228 0.6778
O 0.5000 0.0000 0.5000
O 0.1386 0.2772 0.3222
F 0.8247 0.6493 0.1523
F 0.1753 0.3507 0.8477

=====

(10)
Below is Li6NiOF6 at its PBEsol-relaxed geometry, with properties calculated at the meta-GGA SCAN level.

Output
Space-group type: Immm (71)
E, eV per atom: -6.93
ΔE_f (raw), kJ per mole of atoms: -269
Volume, Å³/f.u.: 115.4
Mass density, g/cm3: 3.31

a b c (Å): 2.9100 3.8280 10.6370
angles (deg): 100.37 97.86 90.00
Atoms (fractional coordinates):
Li 0.2142 0.2142 0.4284
Li 0.7858 0.7858 0.5716
Li 0.3508 0.3508 0.7017
Li 0.9276 0.9276 0.8553
Li 0.6492 0.6492 0.2983
Li 0.0724 0.0724 0.1447
Ni 0.5000 0.5000 0.0000
O 0.5000 0.0000 0.0000
F 0.3536 0.8536 0.7073
F 0.6464 0.1464 0.2927
F 0.7840 0.2840 0.5680
F 0.9196 0.4196 0.8393
F 0.2160 0.7160 0.4320
F 0.0804 0.5804 0.1607

=====

(11)
Below is Li3Ni8O4F12 at its PBEsol-relaxed geometry, with properties calculated at the meta-GGA SCAN level.

Output
Space-group type: C2/m (12)
Density of states at the Fermi level, states/eV per atom: 0.042
E, eV per atom: -9.64
ΔE_f (raw), kJ per mole of atoms: -202
Volume, Å³/f.u.: 283.0
Mass density, g/cm3: 4.59

a b c (Å): 5.5699 6.0449 9.8978
angles (deg): 78.79 73.66 62.57
Atoms (fractional coordinates):
F 0.3708 0.8937 0.8603
F 0.3348 0.4485 0.3549
F 0.8714 0.3819 0.8753
F 0.8752 0.8937 0.8603
F 0.8618 0.4485 0.3549
F 0.6292 0.1063 0.1397
F 0.6652 0.5515 0.6451
F 0.3901 0.3521 0.8678
F 0.1286 0.6181 0.1247
F 0.6099 0.6479 0.1322
F 0.1248 0.1063 0.1397
F 0.1382 0.5515 0.6451
Ni 0.7566 0.7292 0.7577
Ni 0.7378 0.7802 0.2505
Ni 0.7685 0.2198 0.7495
Ni 0.2622 0.2198 0.7495
Ni 0.2315 0.7802 0.2505
Ni 0.0000 0.0000 0.5000
Ni 0.5000 0.0000 0.5000
Ni 0.2434 0.2708 0.2423
Li 0.1968 0.6846 0.9217
Li 0.0000 0.5000 0.5000
Li 0.8032 0.3154 0.0783
O 0.1393 0.1120 0.6094
O 0.8607 0.8880 0.3906
O 0.3366 0.9597 0.3670
O 0.6634 0.0403 0.6330

=====

(12)
Below is Li4Ni3O6F at its PBEsol-relaxed geometry, with properties calculated at the meta-GGA SCAN level.

Output
Space-group type: C2/m (12)
Density of states at the Fermi level, states/eV per atom: 0.177
E, eV per atom: -8.86
ΔE_f (raw), kJ per mole of atoms: -173
Volume, Å³/f.u.: 112.4
Mass density, g/cm3: 4.71

a b c (Å): 4.0658 4.9247 6.2180
angles (deg): 97.07 90.00 114.38
Atoms (fractional coordinates):
O 0.3409 0.6818 0.5605
O 0.0579 0.1158 0.7029
O 0.1947 0.3895 0.1464
O 0.8053 0.6105 0.8536
O 0.6591 0.3182 0.4395
O 0.9421 0.8842 0.2971
Ni 0.0000 0.0000 0.0000
Ni 0.1424 0.2849 0.4287
Ni 0.8576 0.7151 0.5713
Li 0.4244 0.8488 0.2879
Li 0.7197 0.4394 0.1429
Li 0.5756 0.1512 0.7121
Li 0.2803 0.5606 0.8571
F 0.5000 0.0000 0.0000